# MoOsRu PBE relaxed
data_MoOsRu
_symmetry_space_group_name_H-M 'P 1'
_symmetry_Int_Tables_number 1
_symmetry_space_group_name_Hall 'P 1'
_cell_length_a 2.734
_cell_length_b 4.683
_cell_length_c 7.394
_cell_angle_alpha 88.76
_cell_angle_beta 90.37
_cell_angle_gamma 72.89
loop_
_atom_site_label
_atom_site_fract_x
_atom_site_fract_y
_atom_site_fract_z
Mo1 0.863 0.831 0.607
Mo2 0.582 0.361 0.433
Os1 0.589 0.367 0.082
Os2 0.856 0.824 0.959
Ru1 0.126 0.286 0.771
Ru2 0.319 0.906 0.269
# Fermi-level density of states = 0.82 states/eV per atom
# energy = -10.24 eV/atom
# E_form = 204 meV/atom
# polymorph energy (0 for the lowest one) = 120.8 meV per atom